(1)
# CaZr2F2 GGA-PBE relaxed
data_CaZr2F2
_space_group_name_H-M_alt 'P 1'
_space_group_IT_number 1
_space_group_name_Hall 'P 1'
_cell_length_a 4.321
_cell_length_b 4.321
_cell_length_c 10.641
_cell_angle_alpha 90.00
_cell_angle_beta 90.00
_cell_angle_gamma 90.00
loop_
_atom_site_label
_atom_site_type_symbol
_atom_site_fract_x
_atom_site_fract_y
_atom_site_fract_z
_atom_site_occupancy
Ca1 Ca 0.000 0.000 0.000 1
Ca2 Ca 0.500 0.500 0.500 1
Zr1 Zr 0.000 0.000 0.363 1
Zr2 Zr 0.000 0.000 0.637 1
Zr3 Zr 0.500 0.500 0.137 1
Zr4 Zr 0.500 0.500 0.863 1
F1 F 0.000 0.500 0.250 1
F2 F 0.000 0.500 0.750 1
F3 F 0.500 0.000 0.250 1
F4 F 0.500 0.000 0.750 1
# Energy above the lowest structure with this stoichiometry ... 0.000 eV/atom
# ΔE_f (raw) ... -1.0544 eV/atom
# Calculated total energy ... -5.62 eV/atom

---

(2)
# Pm3HoTl2 GGA-PBE relaxed
data_Pm3HoTl2
_space_group_name_H-M_alt 'P 1'
_space_group_IT_number 1
_space_group_name_Hall 'P 1'
_cell_length_a 5.208
_cell_length_b 10.241
_cell_length_c 6.840
_cell_angle_alpha 90.00
_cell_angle_beta 90.00
_cell_angle_gamma 90.00
loop_
_atom_site_label
_atom_site_type_symbol
_atom_site_fract_x
_atom_site_fract_y
_atom_site_fract_z
_atom_site_occupancy
Pm1 Pm 0.000 0.039 0.000 1
Pm2 Pm 0.000 0.321 0.363 1
Pm3 Pm 0.000 0.679 0.863 1
Pm4 Pm 0.000 0.961 0.500 1
Pm5 Pm 0.500 0.188 0.731 1
Pm6 Pm 0.500 0.812 0.231 1
Ho1 Ho 0.500 0.461 0.089 1
Ho2 Ho 0.500 0.539 0.589 1
Tl1 Tl 0.000 0.364 0.842 1
Tl2 Tl 0.000 0.636 0.342 1
Tl3 Tl 0.500 0.138 0.254 1
Tl4 Tl 0.500 0.862 0.754 1
# Energy above the lowest structure with this stoichiometry ... 0.000 eV/atom
# Calculated total energy ... -4.20 eV/atom

---

(3)
# ScRu2Rh GGA-PBE relaxed
data_ScRu2Rh
_space_group_name_H-M_alt 'P 1'
_space_group_IT_number 1
_space_group_name_Hall 'P 1'
_cell_length_a 9.199
_cell_length_b 2.861
_cell_length_c 4.762
_cell_angle_alpha 90.00
_cell_angle_beta 101.79
_cell_angle_gamma 90.00
loop_
_atom_site_label
_atom_site_type_symbol
_atom_site_fract_x
_atom_site_fract_y
_atom_site_fract_z
_atom_site_occupancy
Sc1 Sc 0.000 0.000 0.000 1
Sc2 Sc 0.500 0.500 0.000 1
Ru1 Ru 0.239 0.000 0.684 1
Ru2 Ru 0.499 0.000 0.516 1
Ru3 Ru 0.739 0.500 0.684 1
Ru4 Ru 0.999 0.500 0.516 1
Rh1 Rh 0.255 0.500 0.218 1
Rh2 Rh 0.755 0.000 0.218 1
# Calculated total energy ... -8.27 eV/atom

---

(4)
# CuOsBr2 GGA-PBE relaxed
data_CuOsBr2
_space_group_name_H-M_alt 'P 1'
_space_group_IT_number 1
_space_group_name_Hall 'P 1'
_cell_length_a 3.338
_cell_length_b 3.338
_cell_length_c 7.761
_cell_angle_alpha 90.00
_cell_angle_beta 90.00
_cell_angle_gamma 90.00
loop_
_atom_site_label
_atom_site_type_symbol
_atom_site_fract_x
_atom_site_fract_y
_atom_site_fract_z
_atom_site_occupancy
Cu1 Cu 0.000 0.000 0.000 1
Os1 Os 0.500 0.500 0.129 1
Br1 Br 0.000 0.000 0.358 1
Br2 Br 0.500 0.500 0.805 1
# Energy above the lowest structure with this stoichiometry ... 0.343 eV/atom
# ΔE_f (raw) ... 0.7641 eV/atom
# Calculated total energy ... -3.90 eV/atom

---

(5)
# Ce2SmCu2Ge2 GGA-PBE relaxed
data_Ce2SmCu2Ge2
_space_group_name_H-M_alt 'P 1'
_space_group_IT_number 1
_space_group_name_Hall 'P 1'
_cell_length_a 9.498
_cell_length_b 9.498
_cell_length_c 9.498
_cell_angle_alpha 25.84
_cell_angle_beta 25.84
_cell_angle_gamma 25.84
loop_
_atom_site_label
_atom_site_type_symbol
_atom_site_fract_x
_atom_site_fract_y
_atom_site_fract_z
_atom_site_occupancy
Ce1 Ce 0.141 0.141 0.141 1
Ce2 Ce 0.859 0.859 0.859 1
Sm1 Sm 0.000 0.000 0.000 1
Cu1 Cu 0.407 0.407 0.407 1
Cu2 Cu 0.593 0.593 0.593 1
Ge1 Ge 0.263 0.263 0.263 1
Ge2 Ge 0.737 0.737 0.737 1
# Calculated total energy ... -5.37 eV/atom

---

(6)
# Sm6TlCd5 GGA-PBE relaxed
data_Sm6TlCd5
_space_group_name_H-M_alt 'P 1'
_space_group_IT_number 1
_space_group_name_Hall 'P 1'
_cell_length_a 6.432
_cell_length_b 6.432
_cell_length_c 10.297
_cell_angle_alpha 96.02
_cell_angle_beta 96.02
_cell_angle_gamma 120.59
loop_
_atom_site_label
_atom_site_type_symbol
_atom_site_fract_x
_atom_site_fract_y
_atom_site_fract_z
_atom_site_occupancy
Sm1 Sm 0.075 0.413 0.744 1
Sm2 Sm 0.235 0.235 0.239 1
Sm3 Sm 0.413 0.075 0.744 1
Sm4 Sm 0.587 0.925 0.256 1
Sm5 Sm 0.765 0.765 0.761 1
Sm6 Sm 0.925 0.587 0.256 1
Tl1 Tl 0.500 0.500 0.000 1
Cd1 Cd 0.000 0.000 0.500 1
Cd2 Cd 0.181 0.819 0.000 1
Cd3 Cd 0.351 0.649 0.500 1
Cd4 Cd 0.649 0.351 0.500 1
Cd5 Cd 0.819 0.181 0.000 1
# Energy above the lowest structure with this stoichiometry ... 0.170 eV/atom
# Calculated total energy ... -3.10 eV/atom

---

(7)
# NaIn3Bi3 GGA-PBE relaxed
data_NaIn3Bi3
_space_group_name_H-M_alt 'P 1'
_space_group_IT_number 1
_space_group_name_Hall 'P 1'
_cell_length_a 8.445
_cell_length_b 8.445
_cell_length_c 8.445
_cell_angle_alpha 90.00
_cell_angle_beta 90.00
_cell_angle_gamma 90.00
loop_
_atom_site_label
_atom_site_type_symbol
_atom_site_fract_x
_atom_site_fract_y
_atom_site_fract_z
_atom_site_occupancy
Na1 Na 0.000 0.000 0.000 1
Na2 Na 0.500 0.500 0.500 1
In1 In 0.000 0.250 0.500 1
In2 In 0.000 0.750 0.500 1
In3 In 0.250 0.500 0.000 1
In4 In 0.500 0.000 0.250 1
In5 In 0.500 0.000 0.750 1
In6 In 0.750 0.500 0.000 1
Bi1 Bi 0.000 0.500 0.250 1
Bi2 Bi 0.000 0.500 0.750 1
Bi3 Bi 0.250 0.000 0.500 1
Bi4 Bi 0.500 0.250 0.000 1
Bi5 Bi 0.500 0.750 0.000 1
Bi6 Bi 0.750 0.000 0.500 1
# Energy above the lowest structure with this stoichiometry ... 0.142 eV/atom
# Calculated total energy ... -2.93 eV/atom

---

(8)
# MoC GGA-PBE relaxed
data_MoC
_space_group_name_H-M_alt 'P 1'
_space_group_IT_number 1
_space_group_name_Hall 'P 1'
_cell_length_a 2.962
_cell_length_b 2.962
_cell_length_c 5.440
_cell_angle_alpha 90.00
_cell_angle_beta 90.00
_cell_angle_gamma 120.00
loop_
_atom_site_label
_atom_site_type_symbol
_atom_site_fract_x
_atom_site_fract_y
_atom_site_fract_z
_atom_site_occupancy
Mo1 Mo 0.333 0.667 0.250 1
Mo2 Mo 0.667 0.333 0.750 1
C1 C 0.000 0.000 0.000 1
C2 C 0.000 0.000 0.500 1
# Energy above the lowest structure with this stoichiometry ... 0.122 eV/atom
# Calculated total energy ... -10.00 eV/atom

---

(9)
# CrSnN3 GGA-PBE relaxed
data_CrSnN3
_space_group_name_H-M_alt 'P 1'
_space_group_IT_number 1
_space_group_name_Hall 'P 1'
_cell_length_a 3.795
_cell_length_b 3.795
_cell_length_c 3.795
_cell_angle_alpha 90.00
_cell_angle_beta 90.00
_cell_angle_gamma 90.00
loop_
_atom_site_label
_atom_site_type_symbol
_atom_site_fract_x
_atom_site_fract_y
_atom_site_fract_z
_atom_site_occupancy
Cr1 Cr 0.000 0.000 0.000 1
Sn1 Sn 0.500 0.500 0.500 1
N1 N 0.000 0.000 0.500 1
N2 N 0.000 0.500 0.000 1
N3 N 0.500 0.000 0.000 1
# ΔE_f (raw) ... 0.6429 eV/atom
# Calculated total energy ... -7.08 eV/atom

---

(10)
# NdErU2As4 GGA-PBE relaxed
data_NdErU2As4
_space_group_name_H-M_alt 'P 1'
_space_group_IT_number 1
_space_group_name_Hall 'P 1'
_cell_length_a 7.096
_cell_length_b 4.095
_cell_length_c 7.250
_cell_angle_alpha 90.00
_cell_angle_beta 109.02
_cell_angle_gamma 90.00
loop_
_atom_site_label
_atom_site_type_symbol
_atom_site_fract_x
_atom_site_fract_y
_atom_site_fract_z
_atom_site_occupancy
Nd1 Nd 0.000 0.000 0.000 1
Er1 Er 0.500 0.500 0.000 1
U1 U 0.000 0.500 0.500 1
U2 U 0.500 0.000 0.500 1
As1 As 0.255 0.000 0.746 1
As2 As 0.259 0.500 0.258 1
As3 As 0.741 0.500 0.742 1
As4 As 0.745 0.000 0.254 1
# Calculated total energy ... -7.43 eV/atom

---

(11)
# KScSi3 GGA-PBE relaxed
data_KScSi3
_space_group_name_H-M_alt 'P 1'
_space_group_IT_number 1
_space_group_name_Hall 'P 1'
_cell_length_a 5.072
_cell_length_b 5.072
_cell_length_c 5.072
_cell_angle_alpha 90.00
_cell_angle_beta 90.00
_cell_angle_gamma 90.00
loop_
_atom_site_label
_atom_site_type_symbol
_atom_site_fract_x
_atom_site_fract_y
_atom_site_fract_z
_atom_site_occupancy
K1 K 0.000 0.000 0.000 1
Sc1 Sc 0.500 0.500 0.500 1
Si1 Si 0.000 0.000 0.500 1
Si2 Si 0.000 0.500 0.000 1
Si3 Si 0.500 0.000 0.000 1
# Energy above the lowest structure with this stoichiometry ... 1.229 eV/atom
# ΔE_f (raw) ... 1.7148 eV/atom
# Calculated total energy ... -3.02 eV/atom

---

(12)
# TbGdLuCd GGA-PBE relaxed
data_TbGdLuCd
_space_group_name_H-M_alt 'P 1'
_space_group_IT_number 1
_space_group_name_Hall 'P 1'
_cell_length_a 7.680
_cell_length_b 7.680
_cell_length_c 7.680
_cell_angle_alpha 90.00
_cell_angle_beta 90.00
_cell_angle_gamma 90.00
loop_
_atom_site_label
_atom_site_type_symbol
_atom_site_fract_x
_atom_site_fract_y
_atom_site_fract_z
_atom_site_occupancy
Tb1 Tb 0.000 0.000 0.000 1
Tb2 Tb 0.000 0.500 0.500 1
Tb3 Tb 0.500 0.000 0.500 1
Tb4 Tb 0.500 0.500 0.000 1
Gd1 Gd 0.000 0.000 0.500 1
Gd2 Gd 0.000 0.500 0.000 1
Gd3 Gd 0.500 0.000 0.000 1
Gd4 Gd 0.500 0.500 0.500 1
Lu1 Lu 0.250 0.250 0.250 1
Lu2 Lu 0.250 0.750 0.750 1
Lu3 Lu 0.750 0.250 0.750 1
Lu4 Lu 0.750 0.750 0.250 1
Cd1 Cd 0.250 0.250 0.750 1
Cd2 Cd 0.250 0.750 0.250 1
Cd3 Cd 0.750 0.250 0.250 1
Cd4 Cd 0.750 0.750 0.750 1
# Calculated total energy ... -6.09 eV/atom